Entry 1:
# CoReHOsO | Alexandria via LeMat-Bulk | PBE with a Hubbard U | optimized geometry
# **Calculated density**: 12.253 g/cm³
# **Excess energy over the best structure of this formula in the dataset**: 0.317 eV/f.u.
# **Uncorrected energy**: -7.5391 eV per atom
data_CoReHOsO
_chemical_formula_sum 'Co2 Re2 H2 Os2 O2'
_cell_length_a 12.4820
_cell_length_b 2.7301
_cell_length_c 3.6038
_cell_angle_alpha 90.00
_cell_angle_beta 93.22
_cell_angle_gamma 90.00
_space_group_name_H-M_alt 'C 1 m 1'
_space_group_IT_number 8
_space_group_name_Hall 'C -2y'
loop_
_atom_site_label
_atom_site_type_symbol
_atom_site_fract_x
_atom_site_fract_y
_atom_site_fract_z
_atom_site_occupancy
Co1 Co 0.0000 0.0000 0.0000 1
Re1 Re 0.2267 0.0000 0.0367 1
H1 H 0.4873 0.0000 0.6533 1
Os1 Os 0.1202 0.5000 0.5106 1
O1 O 0.3446 0.5000 0.0646 1

***

Entry 2:
# CoReHOsO | Alexandria via LeMat-Bulk | PBE with a Hubbard U | optimized geometry
# **Calculated density**: 13.671 g/cm³
# **Excess energy over the best structure of this formula in the dataset**: 1.427 eV/f.u.
# **Uncorrected energy**: -7.3171 eV per atom
data_CoReHOsO
_chemical_formula_sum 'Co2 Re2 H2 Os2 O2'
_cell_length_a 8.6339
_cell_length_b 2.7333
_cell_length_c 4.7413
_cell_angle_alpha 90.00
_cell_angle_beta 100.82
_cell_angle_gamma 90.00
_space_group_name_H-M_alt 'C 1 m 1'
_space_group_IT_number 8
_space_group_name_Hall 'C -2y'
loop_
_atom_site_label
_atom_site_type_symbol
_atom_site_fract_x
_atom_site_fract_y
_atom_site_fract_z
_atom_site_occupancy
Co1 Co 0.0000 0.0000 0.0000 1
Re1 Re 0.2993 0.0000 0.3049 1
H1 H 0.4158 0.0000 0.7004 1
Os1 Os 0.0883 0.5000 0.5336 1
O1 O 0.2626 0.5000 0.9840 1

***

Entry 3:
# CoReHOsO | Alexandria via LeMat-Bulk | PBE with a Hubbard U | optimized geometry
# **Calculated density**: 13.485 g/cm³
# **Excess energy over the best structure of this formula in the dataset**: 1.709 eV/f.u.
# **Uncorrected energy**: -7.2606 eV per atom
data_CoReHOsO
_chemical_formula_sum 'Co2 Re2 H2 Os2 O2'
_cell_length_a 8.6855
_cell_length_b 2.7694
_cell_length_c 4.8787
_cell_angle_alpha 90.00
_cell_angle_beta 108.31
_cell_angle_gamma 90.00
_space_group_name_H-M_alt 'C 1 m 1'
_space_group_IT_number 8
_space_group_name_Hall 'C -2y'
loop_
_atom_site_label
_atom_site_type_symbol
_atom_site_fract_x
_atom_site_fract_y
_atom_site_fract_z
_atom_site_occupancy
Co1 Co 0.0000 0.0000 0.0000 1
Re1 Re 0.2193 0.0000 0.7109 1
H1 H 0.0662 0.5000 0.2313 1
Os1 Os 0.4535 0.0000 0.4807 1
O1 O 0.2549 0.0000 0.1039 1

***

Entry 4:
# CoReHOsO | Alexandria via LeMat-Bulk | PBE with a Hubbard U | optimized geometry
# **Calculated density**: 13.318 g/cm³
# **Excess energy over the best structure of this formula in the dataset**: 0.422 eV/f.u.
# **Uncorrected energy**: -7.5181 eV per atom
data_CoReHOsO
_chemical_formula_sum 'Co1 Re1 H1 Os1 O1'
_cell_length_a 2.8299
_cell_length_b 2.8781
_cell_length_c 6.9252
_cell_angle_alpha 90.00
_cell_angle_beta 90.00
_cell_angle_gamma 90.00
_space_group_name_H-M_alt 'P m m 2'
_space_group_IT_number 25
_space_group_name_Hall 'P 2 -2'
loop_
_atom_site_label
_atom_site_type_symbol
_atom_site_fract_x
_atom_site_fract_y
_atom_site_fract_z
_atom_site_occupancy
Co1 Co 0.0000 0.0000 0.0000 1
Re1 Re 0.5000 0.5000 0.3577 1
H1 H 0.5000 0.0000 0.7633 1
Os1 Os 0.0000 0.0000 0.5930 1
O1 O 0.5000 0.5000 0.0647 1

***

Entry 5:
# CoReHOsO | Alexandria via LeMat-Bulk | PBE with a Hubbard U | optimized geometry
# **Calculated density**: 12.597 g/cm³
# **Excess energy over the best structure of this formula in the dataset**: 0.602 eV/f.u.
# **Uncorrected energy**: -7.4821 eV per atom
data_CoReHOsO
_chemical_formula_sum 'Co1 Re1 H1 Os1 O1'
_cell_length_a 2.8106
_cell_length_b 2.8257
_cell_length_c 7.6479
_cell_angle_alpha 79.37
_cell_angle_beta 87.41
_cell_angle_gamma 89.89
_space_group_name_H-M_alt 'P 1'
_space_group_IT_number 1
_space_group_name_Hall 'P 1'
loop_
_atom_site_label
_atom_site_type_symbol
_atom_site_fract_x
_atom_site_fract_y
_atom_site_fract_z
_atom_site_occupancy
Co1 Co 0.0000 0.0000 0.0000 1
Re1 Re 0.0645 0.2286 0.5350 1
H1 H 0.4269 0.8635 0.2615 1
Os1 Os 0.5360 0.6185 0.7546 1
O1 O 0.0968 0.8381 0.3154 1

***

Entry 6:
# CoReHOsO | Alexandria via LeMat-Bulk | PBE with a Hubbard U | optimized geometry
# **Calculated density**: 13.012 g/cm³
# **Excess energy over the best structure of this formula in the dataset**: 0.958 eV/f.u.
# **Uncorrected energy**: -7.4110 eV per atom
data_CoReHOsO
_chemical_formula_sum 'Co1 Re1 H1 Os1 O1'
_cell_length_a 2.7223
_cell_length_b 4.0276
_cell_length_c 5.4358
_cell_angle_alpha 89.94
_cell_angle_beta 75.61
_cell_angle_gamma 89.96
_space_group_name_H-M_alt 'P 1'
_space_group_IT_number 1
_space_group_name_Hall 'P 1'
loop_
_atom_site_label
_atom_site_type_symbol
_atom_site_fract_x
_atom_site_fract_y
_atom_site_fract_z
_atom_site_occupancy
Co1 Co 0.0000 0.0000 0.0000 1
Re1 Re 0.6893 0.5008 0.6191 1
H1 H 0.3288 0.5029 0.3415 1
Os1 Os 0.2855 0.0010 0.4286 1
O1 O 0.0479 0.5001 0.9038 1

***

Entry 7:
# CoReHOsO | Alexandria via LeMat-Bulk | PBE with a Hubbard U | optimized geometry
# **Calculated density**: 13.658 g/cm³
# **Excess energy over the best structure of this formula in the dataset**: 0.000 eV/f.u.
# **Uncorrected energy**: -7.6025 eV per atom
data_CoReHOsO
_chemical_formula_sum 'Co2 Re2 H2 Os2 O2'
_cell_length_a 13.9069
_cell_length_b 2.8174
_cell_length_c 2.8524
_cell_angle_alpha 90.00
_cell_angle_beta 100.19
_cell_angle_gamma 90.00
_space_group_name_H-M_alt 'C 1 m 1'
_space_group_IT_number 8
_space_group_name_Hall 'C -2y'
loop_
_atom_site_label
_atom_site_type_symbol
_atom_site_fract_x
_atom_site_fract_y
_atom_site_fract_z
_atom_site_occupancy
Co1 Co 0.0000 0.0000 0.0000 1
Re1 Re 0.2223 0.5000 0.7213 1
H1 H 0.4695 0.0000 0.3740 1
Os1 Os 0.3440 0.0000 0.3244 1
O1 O 0.1118 0.0000 0.6250 1

***

Entry 8:
# Co3P2H16O16 | Alexandria via LeMat-Bulk | PBE with a Hubbard U | optimized geometry
# **Calculated density**: 2.743 g/cm³
# **Uncorrected energy**: -5.6056 eV per atom
data_Co3P2H16O16
_chemical_formula_sum 'Co6 P4 H32 O32'
_cell_length_a 10.1745
_cell_length_b 13.3644
_cell_length_c 4.7211
_cell_angle_alpha 90.00
_cell_angle_beta 105.52
_cell_angle_gamma 90.00
_space_group_name_H-M_alt 'C 1 2/m 1'
_space_group_IT_number 12
_space_group_name_Hall '-C 2y'
loop_
_atom_site_label
_atom_site_type_symbol
_atom_site_fract_x
_atom_site_fract_y
_atom_site_fract_z
_atom_site_occupancy
Co1 Co 0.0000 0.0000 0.0000 1
Co2 Co 0.0000 0.3902 0.0000 1
P1 P 0.1871 0.5000 0.6174 1
H1 H 0.0320 0.2194 0.2813 1
H2 H 0.1225 0.3045 0.4873 1
H3 H 0.1251 0.0812 0.6389 1
H4 H 0.1891 0.1251 0.9584 1
O1 O 0.0955 0.2756 0.2859 1
O2 O 0.0998 0.1148 0.8068 1
O3 O 0.1045 0.5000 0.2889 1
O4 O 0.1573 0.0000 0.3803 1
O5 O 0.1591 0.4024 0.7720 1

***

Entry 9:
# Co2PHO5 | Alexandria via LeMat-Bulk | PBE with a Hubbard U | optimized geometry
# **Calculated density**: 3.678 g/cm³
# **Uncorrected energy**: -6.4519 eV per atom
data_Co2PHO5
_chemical_formula_sum 'Co8 P4 H4 O20'
_cell_length_a 8.1939
_cell_length_b 8.3972
_cell_length_c 6.0319
_cell_angle_alpha 90.00
_cell_angle_beta 90.00
_cell_angle_gamma 90.00
_space_group_name_H-M_alt 'P n n m'
_space_group_IT_number 58
_space_group_name_Hall '-P 2 2n'
loop_
_atom_site_label
_atom_site_type_symbol
_atom_site_fract_x
_atom_site_fract_y
_atom_site_fract_z
_atom_site_occupancy
Co1 Co 0.0000 0.0000 0.2457 1
Co2 Co 0.1383 0.3696 0.0000 1
P1 P 0.2481 0.7406 0.0000 1
H1 H 0.2246 0.0807 0.0000 1
O1 O 0.0876 0.1462 0.5000 1
O2 O 0.1093 0.6130 0.0000 1
O3 O 0.1142 0.1244 0.0000 1
O4 O 0.2333 0.8483 0.2090 1

***

Entry 10:
# Co2P2H12O13 | Alexandria via LeMat-Bulk | PBE with a Hubbard U | optimized geometry
# **Calculated density**: 2.623 g/cm³
# **Uncorrected energy**: -5.6514 eV per atom
data_Co2P2H12O13
_chemical_formula_sum 'Co8 P8 H48 O52'
_cell_length_a 7.1937
_cell_length_b 18.3912
_cell_length_c 10.3468
_cell_angle_alpha 90.00
_cell_angle_beta 132.29
_cell_angle_gamma 90.00
_space_group_name_H-M_alt 'P 1 21/c 1'
_space_group_IT_number 14
_space_group_name_Hall '-P 2ybc'
loop_
_atom_site_label
_atom_site_type_symbol
_atom_site_fract_x
_atom_site_fract_y
_atom_site_fract_z
_atom_site_occupancy
Co1 Co 0.0000 0.0000 0.0000 1
Co2 Co 0.0000 0.0000 0.5000 1
Co3 Co 0.3255 0.2409 0.0246 1
P1 P 0.1437 0.1066 0.3122 1
P2 P 0.4909 0.0974 0.6929 1
H1 H 0.0327 0.6102 0.8486 1
H2 H 0.0639 0.2136 0.1010 1
H3 H 0.0681 0.6725 0.5761 1
H4 H 0.2041 0.7334 0.3528 1
H5 H 0.2231 0.5123 0.3839 1
H6 H 0.2760 0.1074 0.9106 1
H7 H 0.2974 0.5712 0.9732 1
H8 H 0.3074 0.1627 0.8027 1
H9 H 0.3226 0.6455 0.2083 1
H10 H 0.3855 0.7277 0.0399 1
H11 H 0.4055 0.1312 0.2220 1
H12 H 0.4313 0.0024 0.0943 1
O1 O 0.0171 0.2193 0.9869 1
O2 O 0.0616 0.5684 0.2056 1
O3 O 0.1146 0.1902 0.2978 1
O4 O 0.1477 0.5803 0.9563 1
O5 O 0.1847 0.0774 0.1944 1
O6 O 0.2238 0.5889 0.6694 1
O7 O 0.2246 0.1557 0.8504 1
O8 O 0.2757 0.0220 0.9791 1
O9 O 0.3554 0.0364 0.7042 1
O10 O 0.3609 0.7380 0.9360 1
O11 O 0.3977 0.1732 0.6891 1
O12 O 0.4164 0.0874 0.5059 1
O13 O 0.4803 0.6700 0.2593 1

***

Entry 11:
# Tl2CoP4H8O16 | Alexandria via LeMat-Bulk | PBE with a Hubbard U | optimized geometry
# **Calculated density**: 3.600 g/cm³
# **Uncorrected energy**: -6.0476 eV per atom
data_Tl2CoP4H8O16
_chemical_formula_sum 'Tl2 Co1 P4 H8 O16'
_cell_length_a 7.1274
_cell_length_b 7.5571
_cell_length_c 7.7326
_cell_angle_alpha 81.52
_cell_angle_beta 73.33
_cell_angle_gamma 87.68
_space_group_name_H-M_alt 'P -1'
_space_group_IT_number 2
_space_group_name_Hall '-P 1'
loop_
_atom_site_label
_atom_site_type_symbol
_atom_site_fract_x
_atom_site_fract_y
_atom_site_fract_z
_atom_site_occupancy
Tl1 Tl 0.1271 0.2215 0.2993 1
Co1 Co 0.5000 0.0000 0.5000 1
P1 P 0.2591 0.3011 0.7533 1
P2 P 0.3334 0.7615 0.2424 1
H1 H 0.0532 0.7647 0.0852 1
H2 H 0.2614 0.5399 0.4781 1
H3 H 0.3718 0.8125 0.8530 1
H4 H 0.3822 0.6792 0.7084 1
O1 O 0.0809 0.2714 0.9293 1
O2 O 0.2468 0.5738 0.3448 1
O3 O 0.2507 0.8161 0.0826 1
O4 O 0.2679 0.1644 0.6260 1
O5 O 0.2733 0.4958 0.6626 1
O6 O 0.3084 0.8943 0.3771 1
O7 O 0.4343 0.2675 0.8507 1
O8 O 0.4390 0.7914 0.7258 1

***

Entry 12:
# ZnCoP2H12O11 | Alexandria via LeMat-Bulk | PBE with a Hubbard U | optimized geometry
# **Calculated density**: 2.252 g/cm³
# **Uncorrected energy**: -5.4148 eV per atom
data_ZnCoP2H12O11
_chemical_formula_sum 'Zn2 Co2 P4 H24 O22'
_cell_length_a 7.5787
_cell_length_b 7.6411
_cell_length_c 9.5416
_cell_angle_alpha 89.29
_cell_angle_beta 88.54
_cell_angle_gamma 88.46
_space_group_name_H-M_alt 'P -1'
_space_group_IT_number 2
_space_group_name_Hall '-P 1'
loop_
_atom_site_label
_atom_site_type_symbol
_atom_site_fract_x
_atom_site_fract_y
_atom_site_fract_z
_atom_site_occupancy
Zn1 Zn 0.9999 0.0019 0.2513 1
Co1 Co 0.0000 0.5000 0.5000 1
Co2 Co 0.5000 0.0000 0.0000 1
P1 P 0.1182 0.7736 0.9912 1
P2 P 0.2289 0.1119 0.4842 1
H1 H 0.0495 0.5961 0.7574 1
H2 H 0.0541 0.3886 0.7690 1
H3 H 0.1951 0.6032 0.9877 1
H4 H 0.2382 0.7384 0.4257 1
H5 H 0.2506 0.2406 0.0970 1
H6 H 0.3399 0.5610 0.3837 1
H7 H 0.3651 0.5119 0.7143 1
H8 H 0.3894 0.0854 0.7441 1
H9 H 0.4014 0.1769 0.4707 1
H10 H 0.4011 0.9182 0.2627 1
H11 H 0.4324 0.3248 0.1417 1
H12 H 0.4839 0.3733 0.7897 1
O1 O 0.0144 0.2205 0.1329 1
O2 O 0.0224 0.7853 0.1359 1
O3 O 0.0920 0.2543 0.4529 1
O4 O 0.0969 0.4889 0.7103 1
O5 O 0.2181 0.9669 0.3703 1
O6 O 0.2189 0.0345 0.6349 1
O7 O 0.2501 0.6124 0.4496 1
O8 O 0.2562 0.9101 0.9651 1
O9 O 0.3799 0.2375 0.0806 1
O10 O 0.4859 0.4930 0.7487 1
O11 O 0.4951 0.1212 0.7960 1